Entry 1:
Compound: ScIrRh
Source: the Alexandria database
Functional: PBE-GGA
Structure: relaxed

Cell: 4.3121 4.3121 4.3121 Å, 60.00 60.00 60.00°
Last column: nearest neighbours and their distance in Å.
Element x y z (fractional)
Ir 0.5000 0.5000 0.5000  4 Rh 2.64
Rh 0.7500 0.7500 0.7500  4 Ir 2.64, 4 Sc 2.64
Sc 0.0000 0.0000 0.0000  4 Rh 2.64

Values from the calculation:
Total moment = 0.003 μB per formula unit
E = -23.0 eV per cell
Energy of formation = -0.4 eV/f.u.
Polymorph energy (0 for the lowest one) = 47.84 kJ/mol of atoms



Entry 2:
Compound: Sc2IrRh5
Source: the Alexandria database
Functional: PBE-GGA
Structure: relaxed

Cell: 3.9349 5.5623 11.1312 Å, 90.00 90.00 90.00°
Last column: nearest neighbours and their distance in Å.
Element x y z (fractional)
Sc 0.5000 0.2580 0.3724  10 Rh 2.76-2.79, 2 Ir 2.82
Sc 0.5000 0.7420 0.6276  10 Rh 2.76-2.79, 2 Ir 2.82
Sc 0.5000 0.2420 0.8724  10 Rh 2.76-2.79, 2 Ir 2.82
Sc 0.5000 0.7580 0.1276  10 Rh 2.76-2.79, 2 Ir 2.82
Ir 0.0000 0.0000 0.5000  8 Rh 2.75-2.78, 4 Sc 2.82
Ir 0.0000 0.5000 0.0000  8 Rh 2.75-2.78, 4 Sc 2.82
Rh 0.5000 0.2566 0.1217  2 Ir 2.75, 4 Sc 2.77-2.79, 6 Rh 2.78-2.82
Rh 0.5000 0.7434 0.8783  2 Ir 2.75, 4 Sc 2.77-2.79, 6 Rh 2.78-2.82
Rh 0.5000 0.7566 0.3783  2 Ir 2.75, 4 Sc 2.77-2.79, 6 Rh 2.78-2.82
Rh 0.5000 0.2434 0.6217  2 Ir 2.75, 4 Sc 2.77-2.79, 6 Rh 2.78-2.82
Rh 0.0000 0.9949 0.7476  1 Ir 2.76, 4 Sc 2.76-2.77, 7 Rh 2.78-2.82
Rh 0.0000 0.0051 0.2524  1 Ir 2.76, 4 Sc 2.76-2.77, 7 Rh 2.78-2.82
Rh 0.0000 0.4949 0.7524  1 Ir 2.76, 4 Sc 2.76-2.77, 7 Rh 2.78-2.82
Rh 0.0000 0.5051 0.2476  1 Ir 2.76, 4 Sc 2.76-2.77, 7 Rh 2.78-2.82
Rh 0.0000 0.5000 0.5000  4 Sc 2.78, 2 Ir 2.78, 6 Rh 2.78-2.81
Rh 0.0000 0.0000 0.0000  4 Sc 2.78, 2 Ir 2.78, 6 Rh 2.78-2.81

Values from the calculation:
Total moment = 0.000 μB per formula unit
E = -126.4 eV per cell
Energy of formation = -4.9 eV/f.u.



Entry 3:
Compound: Sc4IrRh
Source: the Alexandria database
Functional: PBE-GGA
Structure: relaxed

Cell: 5.8292 7.0845 7.3979 Å, 114.43 108.35 99.52°
Last column: nearest neighbours and their distance in Å.
Element x y z (fractional)
Sc 0.0165 0.2462 0.8757  2 Rh 2.66-2.76, 2 Ir 2.68-2.88
Sc 0.7880 0.6858 0.6374  2 Ir 2.76-2.80, 2 Rh 2.79-2.82
Sc 0.3592 0.6295 0.8757  2 Rh 2.66-2.76, 2 Ir 2.68-2.88
Sc 0.3494 0.9516 0.6374  2 Ir 2.76-2.80, 2 Rh 2.79-2.82
Sc 0.6506 0.0484 0.3626  2 Ir 2.76-2.80, 2 Rh 2.79-2.82
Sc 0.6408 0.3705 0.1243  2 Rh 2.66-2.76, 2 Ir 2.68-2.88
Sc 0.2120 0.3142 0.3626  2 Ir 2.76-2.80, 2 Rh 2.79-2.82
Sc 0.9835 0.7538 0.1243  2 Rh 2.66-2.76, 2 Ir 2.68-2.88
Ir 0.3869 0.6369 0.2738  8 Sc 2.68-2.88
Ir 0.6131 0.3631 0.7262  8 Sc 2.68-2.88
Rh 0.2504 0.0004 0.0009  8 Sc 2.66-2.82, 2 Rh 2.91
Rh 0.7496 0.9996 0.9991  8 Sc 2.66-2.82, 2 Rh 2.91

Values from the calculation:
Total moment = 0.000 μB per formula unit
E = -91.6 eV per cell
Energy of formation = -4.3 eV/f.u.
Polymorph energy (0 for the lowest one) = 0.00 kJ/mol of atoms



Entry 4:
Compound: ScIrRh3
Source: the Alexandria database
Functional: PBE-GGA
Structure: relaxed

Cell: 3.9357 5.5404 8.4221 Å, 120.69 103.51 90.00°
Last column: nearest neighbours and their distance in Å.
Element x y z (fractional)
Sc 0.6070 0.6690 0.2141  9 Rh 2.68-2.88, 2 Ir 2.81, 1 Sc 2.98
Sc 0.3930 0.3310 0.7859  9 Rh 2.68-2.88, 2 Ir 2.81, 1 Sc 2.98
Ir 0.7983 0.4560 0.5966  8 Rh 2.65-2.89, 2 Ir 2.72, 2 Sc 2.81
Ir 0.2017 0.5440 0.4034  8 Rh 2.65-2.89, 2 Ir 2.72, 2 Sc 2.81
Rh 0.0044 0.2500 0.0088  7 Rh 2.70-2.86, 1 Ir 2.75, 4 Sc 2.83-2.88
Rh 0.9956 0.7500 0.9912  7 Rh 2.70-2.86, 1 Ir 2.75, 4 Sc 2.83-2.88
Rh 0.3982 0.8436 0.7965  3 Ir 2.73-2.74, 2 Sc 2.75-2.80, 7 Rh 2.75-2.84
Rh 0.6018 0.1564 0.2035  3 Ir 2.73-2.74, 2 Sc 2.75-2.80, 7 Rh 2.75-2.84
Rh 0.2008 0.0639 0.4016  4 Ir 2.65-2.89, 3 Sc 2.68-2.74, 5 Rh 2.76-2.86
Rh 0.7992 0.9361 0.5984  4 Ir 2.65-2.89, 3 Sc 2.68-2.74, 5 Rh 2.76-2.86

Values from the calculation:
Total moment = 0.000 μB per formula unit
E = -78.4 eV per cell
Energy of formation = -2.0 eV/f.u.
Polymorph energy (0 for the lowest one) = 0.00 kJ/mol of atoms



Entry 5:
Compound: ScIrRh4
Source: the Alexandria database
Functional: PBE-GGA
Structure: relaxed

Cell: 8.8357 5.2878 5.2878 Å, 117.63 64.02 115.98°
Last column: nearest neighbours and their distance in Å.
Element x y z (fractional)
Sc 0.5000 0.7500 0.7500  8 Rh 2.70-2.75, 2 Ir 2.74
Sc 0.0000 0.5000 0.5000  8 Rh 2.70-2.75, 2 Ir 2.74
Ir 0.0000 0.0000 0.0000  8 Rh 2.65-2.70, 2 Sc 2.74
Ir 0.5000 0.2500 0.2500  8 Rh 2.65-2.70, 2 Sc 2.74
Rh 0.3061 0.3963 0.1034  2 Ir 2.65-2.70, 7 Rh 2.68-2.94, 2 Sc 2.70-2.75
Rh 0.6939 0.5905 0.9098  2 Ir 2.65-2.70, 7 Rh 2.68-2.94, 2 Sc 2.70-2.75
Rh 0.1939 0.3402 0.6595  2 Ir 2.65-2.70, 7 Rh 2.68-2.94, 2 Sc 2.70-2.75
Rh 0.1939 0.8537 0.1466  2 Ir 2.65-2.70, 7 Rh 2.68-2.94, 2 Sc 2.70-2.75
Rh 0.8061 0.1466 0.8537  2 Ir 2.65-2.70, 7 Rh 2.68-2.94, 2 Sc 2.70-2.75
Rh 0.3061 0.9098 0.5905  2 Ir 2.65-2.70, 7 Rh 2.68-2.94, 2 Sc 2.70-2.75
Rh 0.8061 0.6595 0.3402  2 Ir 2.65-2.70, 7 Rh 2.68-2.94, 2 Sc 2.70-2.75
Rh 0.6939 0.1034 0.3963  2 Ir 2.65-2.70, 7 Rh 2.68-2.94, 2 Sc 2.70-2.75

Values from the calculation:
Total moment = 0.000 μB per formula unit
E = -91.7 eV per cell
Energy of formation = -1.2 eV/f.u.
Polymorph energy (0 for the lowest one) = 0.00 kJ/mol of atoms



Entry 6:
Compound: ScIrRh3
Source: the Alexandria database
Functional: PBE-GGA
Structure: relaxed

Cell: 6.3040 6.3040 6.3040 Å, 110.38 132.31 88.78°
Last column: nearest neighbours and their distance in Å.
Element x y z (fractional)
Sc 0.0003 0.7503 0.7500  5 Rh 2.69-2.89
Sc 0.9997 0.2497 0.2500  5 Rh 2.69-2.89
Ir 0.5000 0.5000 0.0000  6 Rh 2.56-2.64
Ir 0.5000 0.0000 0.5000  6 Rh 2.56-2.64
Rh 0.5000 0.3224 0.3224  5 Rh 2.55-2.68, 2 Ir 2.64
Rh 0.0000 0.6776 0.1776  5 Rh 2.55-2.68, 2 Ir 2.64
Rh 0.5000 0.6776 0.6776  5 Rh 2.55-2.68, 2 Ir 2.64
Rh 0.0000 0.3224 0.8224  5 Rh 2.55-2.68, 2 Ir 2.64
Rh 0.7015 0.9515 0.2500  2 Ir 2.56, 6 Rh 2.68-2.69, 1 Sc 2.69
Rh 0.2985 0.0485 0.7500  2 Ir 2.56, 6 Rh 2.68-2.69, 1 Sc 2.69

Values from the calculation:
Total moment = 0.000 μB per formula unit
E = -77.0 eV per cell
Energy of formation = -1.3 eV/f.u.
Polymorph energy (0 for the lowest one) = 13.49 kJ/mol of atoms



Entry 7:
Compound: Sc4IrRh
Source: the Alexandria database
Functional: PBE-GGA
Structure: relaxed

Cell: 5.3836 5.3836 5.3836 Å, 60.00 60.00 60.00°
Last column: nearest neighbours and their distance in Å.
Element x y z (fractional)
Sc 0.8740 0.3753 0.3753  6 Sc 2.68-2.70
Sc 0.3753 0.3753 0.8740  6 Sc 2.68-2.70
Sc 0.3753 0.8740 0.3753  6 Sc 2.68-2.70
Sc 0.3753 0.3753 0.3753  6 Sc 2.68-2.70
Ir 0.7500 0.7500 0.7500  12 Sc 3.16, 4 Rh 3.30
Rh 0.0000 0.0000 0.0000  12 Sc 3.16, 4 Ir 3.30

Values from the calculation:
Total moment = 0.000 μB per formula unit
E = -40.3 eV per cell
Energy of formation = 1.3 eV/f.u.
Polymorph energy (0 for the lowest one) = 88.78 kJ/mol of atoms



Entry 8:
Compound: ScIr2Rh2
Source: the Alexandria database
Functional: PBE-GGA
Structure: relaxed

Cell: 4.4138 4.4138 9.7492 Å, 90.00 90.00 120.00°
Last column: nearest neighbours and their distance in Å.
Element x y z (fractional)
Sc 0.0000 0.0000 0.2500  5 Ir 2.44-2.55
Sc 0.0000 0.0000 0.7500  5 Ir 2.44-2.55
Ir 0.6667 0.3333 0.7500  3 Sc 2.55
Ir 0.0000 0.0000 0.0000  2 Sc 2.44, 6 Rh 2.63
Ir 0.0000 0.0000 0.5000  2 Sc 2.44, 6 Rh 2.63
Ir 0.3333 0.6667 0.2500  3 Sc 2.55
Rh 0.3333 0.6667 0.5669  3 Ir 2.63, 3 Rh 2.86
Rh 0.6667 0.3333 0.0669  3 Ir 2.63, 3 Rh 2.86
Rh 0.6667 0.3333 0.4331  3 Ir 2.63, 3 Rh 2.86
Rh 0.3333 0.6667 0.9331  3 Ir 2.63, 3 Rh 2.86

Values from the calculation:
Total moment = 0.651 μB per formula unit
E = -75.8 eV per cell
Energy of formation = 0.8 eV/f.u.
Polymorph energy (0 for the lowest one) = 34.36 kJ/mol of atoms